A PBEsol-optimized structure of La2SnS, computed with SCAN.

Calculated values
DOS at the Fermi energy, states/eV/f.u.: 2.84
Crystal system: cubic
Spin magnetization, μB per atom: 0.00
Symmetry: Fm-3m
Uncorrected formation energy, meV/atom: -1244

a = 5.3215 Å, b = 5.3215 Å, c = 5.3215 Å
α = 60.00°, β = 60.00°, γ = 60.00°
Closest atoms and distances in Å follow each position.
Fractional coordinates of all 4 atoms:
La: 0.2500 0.2500 0.2500  4 S 3.26, 4 Sn 3.26
Sn: 0.5000 0.5000 0.5000  8 La 3.26
La: 0.7500 0.7500 0.7500  4 S 3.26, 4 Sn 3.26
S: 0.0000 0.0000 0.0000  8 La 3.26